# Nd6DyHo

A relaxed structure of Nd6DyHo (PBE, the Alexandria database).

Structure (POSCAR):
```
Nd6DyHo
1.0
5.1518 0.0000 0.0000
0.0000 5.1518 0.0000
0.0000 0.0000 10.3035
Nd Ho Dy
6 1 1
Cartesian
2.5759 0.0000 2.5778
2.5759 2.5759 5.1517
0.0000 2.5759 7.7257
2.5759 2.5759 0.0000
0.0000 2.5759 2.5778
2.5759 0.0000 7.7257
0.0000 0.0000 5.1517
0.0000 0.0000 0.0000
```

Values from the calculation:
Energy of formation   1.5 kJ per mole of atoms
ρ   7.24 g/cm3
M_tot   0.00 μB per cell
Symmetry   No. 123